(1)
Material: Rb2CeBe2O6
Method: DFT, PBE
State: relaxed

Geometry as extended XYZ:
```
11
Lattice="5.872 0.000 0.000 -2.936 5.086 0.000 0.000 0.000 6.668" Properties=species:S:1:pos:R:3 pbc="T T T"
Rb 0.000 3.390 2.187
Rb 2.936 1.695 4.481
Ce 0.000 0.000 0.000
Be 0.000 3.390 5.436
Be 2.936 1.695 1.232
O 0.000 1.865 5.394
O -1.321 4.153 5.394
O 1.615 0.932 1.274
O 1.321 4.153 5.394
O 4.258 0.932 1.274
O 2.936 3.221 1.274
```

Computed properties:
Symmetry: P-3m1, No. 164
Energy relative to the elements, uncorrected: -23.025 eV/f.u.
Crystal system: trigonal
Density: 3.5 g/cm³
Total energy: -6.190 eV per atom

=====

(2)
Material: RbCeBeO4
Method: DFT, PBE
State: relaxed

Geometry as extended XYZ:
```
14
Lattice="5.742 0.000 0.000 0.000 4.649 0.000 -1.794 0.000 7.804" Properties=species:S:1:pos:R:3 pbc="T T T"
Rb 0.573 1.162 3.577
Rb 3.374 3.487 4.227
Ce -0.342 1.162 7.288
Ce 4.289 3.487 0.516
Be 1.198 3.487 1.332
Be 2.749 1.162 6.472
O -0.141 3.487 2.215
O -1.072 3.487 7.549
O 2.378 2.344 1.469
O 2.378 4.630 1.469
O 1.569 0.019 6.335
O 1.569 2.306 6.335
O 5.019 1.162 0.255
O 4.088 1.162 5.589
```

Computed properties:
Symmetry: P2_1/m, No. 11
Energy relative to the elements, uncorrected: -16.715 eV/f.u.
Crystal system: monoclinic
Density: 4.8 g/cm³
Total energy: -6.739 eV per atom

=====

(3)
Material: Rb2CeBeO4
Method: DFT, PBE
State: relaxed

Geometry as extended XYZ:
```
16
Lattice="6.105 0.000 0.000 0.000 6.686 0.000 0.000 0.000 7.009" Properties=species:S:1:pos:R:3 pbc="T T T"
Rb 1.526 0.009 1.420
Rb 1.526 3.334 1.420
Rb 4.579 3.351 5.588
Rb 4.579 6.677 5.588
Ce 1.526 1.671 4.523
Ce 4.579 5.014 2.486
Be 1.526 5.014 4.717
Be 4.579 1.671 2.292
O 0.166 5.014 3.732
O 1.526 3.541 5.619
O 1.526 6.487 5.619
O 2.887 5.014 3.732
O 3.219 1.671 3.277
O 4.579 0.198 1.389
O 4.579 3.144 1.389
O 5.939 1.671 3.277
```

Computed properties:
Symmetry: Pmmn, No. 59
Energy relative to the elements, uncorrected: -18.037 eV/f.u.
Crystal system: orthorhombic
Density: 4.5 g/cm³
Total energy: -6.183 eV per atom

=====

(4)
Material: RbCeBeO3
Method: DFT, PBE
State: relaxed

Geometry as extended XYZ:
```
12
Lattice="1.804 -6.311 0.000 1.804 6.311 0.000 0.000 0.000 9.268" Properties=species:S:1:pos:R:3 pbc="T T T"
Rb 1.804 3.313 6.951
Rb 1.804 -3.313 2.317
Ce 1.804 0.000 0.000
Ce 1.804 0.000 4.634
Be 1.804 5.707 2.317
Be 1.804 -5.707 6.951
O 1.804 5.051 0.912
O 1.804 5.051 3.722
O 1.804 0.489 2.317
O 1.804 -0.489 6.951
O 1.804 -5.051 5.546
O 1.804 -5.051 8.356
```

Computed properties:
Symmetry: Cmcm, No. 63
Energy relative to the elements, uncorrected: -14.853 eV/f.u.
Crystal system: orthorhombic
Density: 4.4 g/cm³
Total energy: -6.726 eV per atom

=====

(5)
Material: CeBeS2O8
Method: DFT, PBE
State: relaxed

Geometry as extended XYZ:
```
12
Lattice="5.057 0.000 0.000 -2.529 4.380 0.000 0.000 0.000 6.661" Properties=species:S:1:pos:R:3 pbc="T T T"
Ce 0.000 0.000 0.000
Be 0.000 0.000 3.330
S 0.000 2.920 1.794
S 2.529 1.460 4.867
O 0.000 1.453 2.174
O -1.270 3.653 2.174
O 1.258 0.726 4.486
O 0.000 2.920 0.287
O 2.529 1.460 6.374
O 1.270 3.653 2.174
O 3.799 0.726 4.486
O 2.529 2.927 4.486
```

Computed properties:
Symmetry: P-3m1, No. 164
Energy relative to the elements, uncorrected: -20.207 eV/f.u.
Crystal system: trigonal
Density: 3.8 g/cm³
Total energy: -6.482 eV per atom

=====

(6)
Material: Ce2ScBe2O6
Method: DFT, PBE
State: relaxed

Geometry as extended XYZ:
```
11
Lattice="5.341 0.000 0.000 -2.671 4.626 0.000 0.000 0.000 5.951" Properties=species:S:1:pos:R:3 pbc="T T T"
Ce 0.000 3.084 2.111
Ce 2.671 1.542 3.840
Sc 0.000 0.000 0.000
Be 0.000 3.084 4.889
Be 2.671 1.542 1.062
O -1.501 3.367 4.660
O 0.506 1.642 4.660
O 1.675 0.383 1.291
O 0.996 4.242 4.660
O 2.165 2.983 1.291
O 4.172 1.259 1.291
```

Computed properties:
Symmetry: P-3, No. 147
Energy relative to the elements, uncorrected: -30.172 eV/f.u.
Crystal system: trigonal
Density: 5.0 g/cm³
Total energy: -7.779 eV per atom

=====

(7)
Material: SrCe2Be2O6
Method: DFT, PBE
State: relaxed

Geometry as extended XYZ:
```
11
Lattice="5.658 0.000 0.000 -2.829 4.900 0.000 0.000 0.000 6.242" Properties=species:S:1:pos:R:3 pbc="T T T"
Sr 0.000 0.000 0.000
Ce 0.000 3.267 2.331
Ce 2.829 1.633 3.911
Be 0.000 3.267 5.000
Be 2.829 1.633 1.242
O -1.529 3.251 4.713
O 0.778 1.951 4.713
O 2.079 0.301 1.529
O 0.751 4.599 4.713
O 2.051 2.949 1.529
O 4.358 1.649 1.529
```

Computed properties:
Symmetry: P-3, No. 147
Energy relative to the elements, uncorrected: -30.239 eV/f.u.
Crystal system: trigonal
Density: 4.6 g/cm³
Total energy: -7.363 eV per atom

=====

(8)
Material: CeTaBeO6
Method: DFT, PBE
State: relaxed

Geometry as extended XYZ:
```
9
Lattice="5.015 0.000 0.000 -2.507 4.343 0.000 0.000 0.000 4.935" Properties=species:S:1:pos:R:3 pbc="T T T"
Ce 0.000 0.000 0.000
Ta 0.000 2.895 2.468
Be 2.507 1.448 2.468
O 1.806 0.072 3.544
O 0.966 1.528 1.391
O 3.209 0.072 1.391
O 1.667 2.743 3.544
O 4.049 1.528 3.544
O 3.348 2.743 1.391
```

Computed properties:
Symmetry: P312, No. 149
Energy relative to the elements, uncorrected: -22.905 eV/f.u.
Crystal system: trigonal
Density: 6.6 g/cm³
Total energy: -8.241 eV per atom

=====

(9)
Material: TbCe2Be2O6
Method: DFT, PBE
State: relaxed

Geometry as extended XYZ:
```
11
Lattice="5.439 0.000 0.000 -2.719 4.710 0.000 0.000 0.000 6.255" Properties=species:S:1:pos:R:3 pbc="T T T"
Tb 0.000 0.000 0.000
Ce 0.000 3.140 2.352
Ce 2.719 1.570 3.904
Be 0.000 3.140 5.111
Be 2.719 1.570 1.144
O -1.530 3.285 4.867
O 0.640 1.743 4.867
O 1.829 0.317 1.388
O 0.890 4.393 4.867
O 2.079 2.967 1.388
O 4.250 1.426 1.388
```

Computed properties:
Symmetry: P-3, No. 147
Energy relative to the elements, uncorrected: -30.410 eV/f.u.
Crystal system: trigonal
Density: 5.7 g/cm³
Total energy: -7.646 eV per atom

=====

(10)
Material: CeBeTlO4
Method: DFT, PBE
State: relaxed

Geometry as extended XYZ:
```
14
Lattice="5.463 0.000 0.000 0.000 5.391 0.000 -2.006 0.000 6.553" Properties=species:S:1:pos:R:3 pbc="T T T"
Ce 1.172 1.348 0.345
Ce 2.284 4.043 6.208
Be -0.432 4.043 5.328
Be 3.889 1.348 1.225
Tl 0.491 1.348 3.793
Tl 2.966 4.043 2.760
O -1.417 2.778 5.225
O -1.417 5.308 5.225
O 0.926 4.043 4.398
O 2.184 4.043 0.382
O 1.273 1.348 6.172
O 2.531 1.348 2.155
O 4.874 0.082 1.328
O 4.874 2.613 1.328
```

Computed properties:
Symmetry: P2_1/m, No. 11
Energy relative to the elements, uncorrected: -15.120 eV/f.u.
Crystal system: monoclinic
Density: 7.2 g/cm³
Total energy: -6.711 eV per atom

=====

(11)
Material: CeBe2SiOs2
Method: DFT, PBE
State: relaxed

Geometry as extended XYZ:
```
6
Lattice="4.384 0.000 0.000 0.000 4.384 0.000 0.000 0.000 5.519" Properties=species:S:1:pos:R:3 pbc="T T T"
Ce 0.000 0.000 0.000
Be 2.192 2.192 1.498
Be 2.192 2.192 4.020
Si 0.000 0.000 2.759
Os 0.000 2.192 2.759
Os 2.192 0.000 2.759
```

Computed properties:
Symmetry: P4/mmm, No. 123
Energy relative to the elements, uncorrected: 1.017 eV/f.u.
Crystal system: tetragonal
Density: 8.9 g/cm³
Total energy: -6.709 eV per atom

=====

(12)
Material: Ce2Be3Si4Os
Method: DFT, PBE
State: relaxed

Geometry as extended XYZ:
```
10
Lattice="3.985 0.000 0.000 0.000 3.985 0.000 0.000 0.000 9.729" Properties=species:S:1:pos:R:3 pbc="T T T"
Ce 0.000 1.993 2.366
Ce 1.993 0.000 7.363
Be 0.000 1.993 8.510
Be 1.993 0.000 1.220
Be 1.993 1.993 4.865
Si 0.000 0.000 0.000
Si 0.000 1.993 6.185
Si 1.993 0.000 3.544
Si 1.993 1.993 0.000
Os 0.000 0.000 4.865
```

Computed properties:
Symmetry: P-4m2, No. 115
Energy relative to the elements, uncorrected: -4.485 eV/f.u.
Crystal system: tetragonal
Density: 6.6 g/cm³
Total energy: -6.045 eV per atom